# 1
The following is a DFT calculation (PBE-GGA) of a relaxed Sm8Ge5Sb crystal.

Lattice parameters (Å, degrees): 7.8940 7.8940 7.8940 109.26 109.89 109.26
Closest atoms and distances in Å follow each position.
Fractional positions:
1 Ge 0.8746 0.8773 0.2510  5 Sm 2.95-3.26
2 Ge 0.7490 0.6236 0.6263  5 Sm 2.95-3.26
3 Ge 0.3737 0.1227 0.9973  5 Sm 2.95-3.26
4 Ge 0.5000 0.0000 0.5000  8 Sm 2.98-3.30
5 Ge 0.0027 0.3764 0.1254  5 Sm 2.95-3.26
6 Sm 0.4976 0.6221 0.2494  3 Ge 2.95-2.99
7 Sm 0.1195 0.7565 0.0139  4 Ge 2.96-3.30, 1 Sb 3.09
8 Sm 0.1245 0.7518 0.5024  3 Ge 2.95-2.99
9 Sm 0.6274 0.3779 0.8755  3 Ge 2.95-2.99
10 Sm 0.9861 0.1056 0.7426  4 Ge 2.96-3.30, 1 Sb 3.09
11 Sm 0.7506 0.2482 0.3726  3 Ge 2.95-2.99
12 Sm 0.2574 0.2435 0.3630  4 Ge 2.96-3.30, 1 Sb 3.09
13 Sm 0.6370 0.8944 0.8805  4 Ge 2.96-3.30, 1 Sb 3.09
14 Sb 0.2500 0.5000 0.7500  8 Sm 3.09-3.36

space-group type = No. 82


# 2
The following is a DFT calculation (PBE-GGA) of a relaxed Sm5GeSb2 crystal.

Lattice parameters (Å, degrees): 6.1028 7.2894 14.0350 90.00 90.00 114.75
Closest atoms and distances in Å follow each position.
Fractional positions:
1 Sb 0.8269 0.6538 0.4308  6 Sm 3.07-3.18
2 Sb 0.8269 0.6538 0.0692  6 Sm 3.07-3.18
3 Sb 0.1731 0.3462 0.5692  6 Sm 3.07-3.18
4 Sb 0.1731 0.3462 0.9308  6 Sm 3.07-3.18
5 Sm 0.6451 0.2903 0.9212  1 Ge 2.97, 3 Sb 3.08-3.18
6 Sm 0.3549 0.7097 0.4212  1 Ge 2.97, 3 Sb 3.08-3.18
7 Sm 0.0550 0.1099 0.1200  1 Ge 2.88, 2 Sb 3.08-3.10
8 Sm 0.3038 0.6077 0.7500  2 Sb 3.07, 2 Ge 3.07
9 Sm 0.3549 0.7097 0.0788  1 Ge 2.97, 3 Sb 3.08-3.18
10 Sm 0.9450 0.8901 0.8800  1 Ge 2.88, 2 Sb 3.08-3.10
11 Sm 0.6451 0.2903 0.5788  1 Ge 2.97, 3 Sb 3.08-3.18
12 Sm 0.9450 0.8901 0.6200  1 Ge 2.88, 2 Sb 3.08-3.10
13 Sm 0.0550 0.1099 0.3800  1 Ge 2.88, 2 Sb 3.08-3.10
14 Sm 0.6962 0.3923 0.2500  2 Sb 3.07, 2 Ge 3.07
15 Ge 0.2233 0.4466 0.2500  6 Sm 2.88-3.07
16 Ge 0.7767 0.5534 0.7500  6 Sm 2.88-3.07

space-group type = No. 63


# 3
The following is a DFT calculation (PBE-GGA) of a relaxed SmGeSb crystal.

Lattice parameters (Å, degrees): 4.1255 4.3909 8.6609 104.68 90.00 90.00
Closest atoms and distances in Å follow each position.
Fractional positions:
1 Sm 0.7500 0.9003 0.8006  6 Ge 3.13-3.32, 4 Sb 3.28-3.32
2 Sm 0.2500 0.0997 0.1994  6 Ge 3.13-3.32, 4 Sb 3.28-3.32
3 Ge 0.2500 0.4510 0.9021  2 Ge 2.64
4 Ge 0.7500 0.5490 0.0979  2 Ge 2.64
5 Sb 0.7500 0.2518 0.5036  4 Sb 3.01, 4 Sm 3.28-3.32
6 Sb 0.2500 0.7482 0.4964  4 Sb 3.01, 4 Sm 3.28-3.32

space-group type = No. 63


# 4
The following is a DFT calculation (PBE-GGA) of a relaxed Sm2GeSb crystal.

Lattice parameters (Å, degrees): 4.2969 4.2969 7.6978 73.79 73.79 60.00
Closest atoms and distances in Å follow each position.
Fractional positions:
1 Sm 0.2545 0.2545 0.2364  3 Ge 3.02, 3 Sb 3.14
2 Sm 0.7455 0.7455 0.7636  3 Ge 3.02, 3 Sb 3.14
3 Sb 0.5000 0.5000 0.5000  6 Sm 3.14
4 Ge 0.0000 0.0000 0.0000  6 Sm 3.02

space-group type = No. 166


# 5
The following is a DFT calculation (PBE-GGA) of a relaxed Sm2GeSb crystal.

Lattice parameters (Å, degrees): 4.3484 6.1275 8.6427 110.49 90.00 90.00
Closest atoms and distances in Å follow each position.
Fractional positions:
1 Sm 0.2500 0.7898 0.5587  3 Ge 3.00-3.04, 3 Sb 3.16-3.35
2 Sm 0.2500 0.3120 0.0749  2 Ge 3.03, 4 Sb 3.14-3.33
3 Sm 0.7500 0.2102 0.4413  3 Ge 3.00-3.04, 3 Sb 3.16-3.35
4 Sm 0.7500 0.6880 0.9251  2 Ge 3.03, 4 Sb 3.14-3.33
5 Sb 0.2500 0.8924 0.2030  7 Sm 3.14-3.35, 2 Ge 3.14
6 Sb 0.7500 0.1076 0.7970  7 Sm 3.14-3.35, 2 Ge 3.14
7 Ge 0.7500 0.5948 0.3016  5 Sm 3.00-3.04, 2 Sb 3.14
8 Ge 0.2500 0.4052 0.6984  5 Sm 3.00-3.04, 2 Sb 3.14

space-group type = No. 11


# 6
The following is a DFT calculation (PBE-GGA) of a relaxed Sm8GeSb5 crystal.

Lattice parameters (Å, degrees): 8.0907 8.0907 8.0907 109.77 108.88 109.77
Closest atoms and distances in Å follow each position.
Fractional positions:
1 Ge 0.2500 0.5000 0.7500  8 Sm 2.99-3.33
2 Sb 0.5000 0.0000 0.5000  8 Sm 3.12-3.42
3 Sb 0.7516 0.6307 0.6244  8 Sm 3.11-3.41
4 Sb 0.3756 0.1272 0.0063  8 Sm 3.11-3.41
5 Sb 0.9937 0.3693 0.1209  8 Sm 3.11-3.41
6 Sb 0.8791 0.8728 0.2484  8 Sm 3.11-3.41
7 Sm 0.6198 0.3937 0.8732  5 Sb 3.12-3.39, 1 Ge 3.33
8 Sm 0.6110 0.8793 0.8728  1 Ge 2.99, 2 Sb 3.11-3.14
9 Sm 0.1268 0.7466 0.5205  5 Sb 3.12-3.39, 1 Ge 3.33
10 Sm 0.7739 0.2534 0.3802  5 Sb 3.12-3.39, 1 Ge 3.33
11 Sm 0.2683 0.2618 0.3890  1 Ge 2.99, 2 Sb 3.11-3.14
12 Sm 0.9935 0.1207 0.7317  1 Ge 2.99, 2 Sb 3.11-3.14
13 Sm 0.1272 0.7382 0.0065  1 Ge 2.99, 2 Sb 3.11-3.14
14 Sm 0.4795 0.6063 0.2261  5 Sb 3.12-3.39, 1 Ge 3.33

space-group type = No. 82


# 7
The following is a DFT calculation (PBE-GGA) of a relaxed SmGeSb crystal.

Lattice parameters (Å, degrees): 3.9498 4.8055 4.8055 120.00 90.00 90.00
Closest atoms and distances in Å follow each position.
Fractional positions:
1 Sb 0.1660 0.0000 0.0000  3 Ge 2.77
2 Ge 0.1675 0.6667 0.3333  3 Sb 2.77
3 Sm 0.6665 0.3333 0.6667  6 Ge 3.40-3.41, 6 Sb 3.40-3.41

space-group type = No. 156


# 8
The following is a DFT calculation (PBE-GGA) of a relaxed SmGe2Sb crystal.

Lattice parameters (Å, degrees): 4.3183 4.6331 4.6331 90.00 90.00 90.00
Closest atoms and distances in Å follow each position.
Fractional positions:
1 Sm 0.5000 0.5000 0.5000  8 Ge 3.17, 4 Sb 3.28
2 Ge 0.0000 0.5000 0.0000  4 Sm 3.17, 4 Sb 3.17, 4 Ge 3.28
3 Ge 0.0000 0.0000 0.5000  4 Sm 3.17, 4 Sb 3.17, 4 Ge 3.28
4 Sb 0.5000 0.0000 0.0000  8 Ge 3.17, 4 Sm 3.28

space-group type = No. 123


# 9
The following is a DFT calculation (PBE-GGA) of a relaxed Sm2GeSb crystal.

Lattice parameters (Å, degrees): 4.2363 4.4809 12.0712 100.70 90.00 90.00
Closest atoms and distances in Å follow each position.
Fractional positions:
1 Ge 0.2500 0.4592 0.9185  2 Ge 2.87, 4 Sm 3.12
2 Ge 0.7500 0.5408 0.0815  2 Ge 2.87, 4 Sm 3.12
3 Sm 0.7500 0.6789 0.3579  5 Sb 3.09-3.13, 1 Ge 3.28
4 Sm 0.7500 0.9392 0.8783  1 Sb 3.04, 6 Ge 3.12-3.29
5 Sm 0.2500 0.0608 0.1217  1 Sb 3.04, 6 Ge 3.12-3.29
6 Sm 0.2500 0.3211 0.6421  5 Sb 3.09-3.13, 1 Ge 3.28
7 Sb 0.2500 0.1890 0.3780  6 Sm 3.04-3.13
8 Sb 0.7500 0.8110 0.6220  6 Sm 3.04-3.13

space-group type = No. 63


# 10
The following is a DFT calculation (PBE-GGA) of a relaxed Sm6Ge2Sb3Te crystal.

Lattice parameters (Å, degrees): 4.3751 8.8182 9.8306 102.95 102.86 90.00
Closest atoms and distances in Å follow each position.
Fractional positions:
1 Sm 0.0071 0.2585 0.0142  1 Ge 2.99, 3 Sb 3.08-3.17, 2 Te 3.14
2 Sm 0.6695 0.0969 0.3390  2 Ge 3.03, 3 Sb 3.13-3.17, 1 Te 3.16
3 Sm 0.9929 0.7415 0.9858  1 Ge 2.99, 3 Sb 3.08-3.17, 2 Te 3.14
4 Sm 0.3297 0.4239 0.6594  3 Ge 3.03-3.05, 3 Sb 3.18
5 Sm 0.3305 0.9031 0.6610  2 Ge 3.03, 3 Sb 3.13-3.17, 1 Te 3.16
6 Sm 0.6703 0.5761 0.3406  3 Ge 3.03-3.05, 3 Sb 3.18
7 Te 0.5000 0.0000 0.0000  6 Sm 3.14-3.16
8 Ge 0.8327 0.6663 0.6655  6 Sm 2.99-3.05
9 Ge 0.1673 0.3337 0.3345  6 Sm 2.99-3.05
10 Sb 0.8374 0.1668 0.6747  6 Sm 3.13-3.18
11 Sb 0.1626 0.8332 0.3253  6 Sm 3.13-3.18
12 Sb 0.5000 0.5000 0.0000  6 Sm 3.08-3.18

space-group type = No. 12


Number 1: E_tot -5.509 eV/atom, total magnetization 0.000 μB per atom. Number 2: E_tot -5.081 eV/atom, total magnetization 0.000 μB per atom. Number 3: E_tot -5.246 eV/atom, total magnetization 0.000 μB per atom. Number 4: E_tot -5.455 eV/atom, total magnetization 0.000 μB per atom. Number 5: E_tot -5.455 eV/atom, total magnetization 0.000 μB per atom. Number 6: E_tot -5.508 eV/atom, total magnetization 0.000 μB per atom. Number 7: E_tot -4.946 eV/atom, total magnetization 0.000 μB per atom. Number 8: E_tot -4.925 eV/atom, total magnetization 0.000 μB per atom. Number 9: E_tot -5.510 eV/atom, total magnetization 0.000 μB per atom. Number 10: E_tot -5.512 eV/atom, total magnetization 0.000 μB per atom.